A plane-wave DFT calculation with PBE-GGA was carried out for crystalline TiBiIN2 at its relaxed geometry.

Cell lengths 4.2044, 4.2044, 5.4656 Å; angles 90.00, 90.00, 90.00 degrees
With the nearest neighbours (Å) after each atom.
Atoms (fractional coordinates):
I 0.0000 0.0000 0.5000  2 Ti 2.73, 4 Bi 2.97
N 0.5000 0.0000 0.0000  2 Ti 2.10
N 0.0000 0.5000 0.0000  2 Ti 2.10
Ti 0.0000 0.0000 0.0000  4 N 2.10
Bi 0.5000 0.5000 0.5000  4 I 2.97

Output
Excess energy over the best structure of this formula in the dataset   0 meV per atom
Uncorrected formation energy   3.3 eV/f.u.
Total energy   -0.19593 hartree per atom

---

A plane-wave DFT calculation with PBE-GGA was carried out for crystalline TlBiI2N at its relaxed geometry.

Cell lengths 6.3479, 6.3479, 3.9790 Å; angles 90.00, 90.00, 90.00 degrees
With the nearest neighbours (Å) after each atom.
Atoms (fractional coordinates):
N 0.0000 0.0000 0.5000  2 Tl 1.99
I 0.5000 0.0000 0.0000  2 Tl 3.17
I 0.0000 0.5000 0.0000  2 Tl 3.17
Bi 0.5000 0.5000 0.5000  8 I 3.75, 2 Bi 3.98
Tl 0.0000 0.0000 0.0000  2 N 1.99

Output
Excess energy over the best structure of this formula in the dataset   580 meV per atom
Uncorrected formation energy   4.5 eV/f.u.
Total energy   -0.09651 hartree per atom

---

A plane-wave DFT calculation with PBE-GGA was carried out for crystalline TlBiIN2 at its relaxed geometry.

Cell lengths 4.5985, 4.5985, 6.2991 Å; angles 90.00, 90.00, 90.00 degrees
With the nearest neighbours (Å) after each atom.
Atoms (fractional coordinates):
Tl 0.0000 0.0000 0.0000  4 N 2.30
Bi 0.5000 0.5000 0.5000  4 I 3.25
N 0.0000 0.5000 0.0000  2 Tl 2.30
N 0.5000 0.0000 0.0000  2 Tl 2.30
I 0.0000 0.0000 0.5000  2 Tl 3.15, 4 Bi 3.25

Output
Excess energy over the best structure of this formula in the dataset   552 meV per atom
Uncorrected formation energy   8.8 eV/f.u.
Total energy   -0.11510 hartree per atom

---

A plane-wave DFT calculation with PBE-GGA was carried out for crystalline TlBiI2N at its relaxed geometry.

Cell lengths 6.4827, 6.4827, 4.2952 Å; angles 90.00, 90.00, 90.00 degrees
With the nearest neighbours (Å) after each atom.
Atoms (fractional coordinates):
Bi 0.0000 0.0000 0.0000  2 N 2.15
Tl 0.5000 0.5000 0.5000  8 I 3.89, 2 Tl 4.30
N 0.0000 0.0000 0.5000  2 Bi 2.15
I 0.5000 0.0000 0.0000  2 Bi 3.24
I 0.0000 0.5000 0.0000  2 Bi 3.24

Output
Excess energy over the best structure of this formula in the dataset   0 meV per atom
Uncorrected formation energy   1.6 eV/f.u.
Total energy   -0.11781 hartree per atom

---

A plane-wave DFT calculation with PBE-GGA was carried out for crystalline TlBiIN2 at its relaxed geometry.

Cell lengths 4.6101, 4.6101, 6.7328 Å; angles 90.00, 90.00, 90.00 degrees
With the nearest neighbours (Å) after each atom.
Atoms (fractional coordinates):
Tl 0.5000 0.5000 0.5000  4 I 3.26
Bi 0.0000 0.0000 0.0000  4 N 2.31
I 0.0000 0.0000 0.5000  4 Tl 3.26, 2 Bi 3.37
N 0.5000 0.0000 0.0000  2 Bi 2.31
N 0.0000 0.5000 0.0000  2 Bi 2.31

Output
Excess energy over the best structure of this formula in the dataset   0 meV per atom
Uncorrected formation energy   6.0 eV/f.u.
Total energy   -0.13539 hartree per atom

---

A plane-wave DFT calculation with PBE-GGA was carried out for crystalline VBiI2N at its relaxed geometry.

Cell lengths 5.7445, 5.7445, 3.6972 Å; angles 90.00, 90.00, 90.00 degrees
With the nearest neighbours (Å) after each atom.
Atoms (fractional coordinates):
I 0.0000 0.5000 0.0000  2 V 2.87
I 0.5000 0.0000 0.0000  2 V 2.87
N 0.0000 0.0000 0.5000  2 V 1.85
V 0.0000 0.0000 0.0000  2 N 1.85
Bi 0.5000 0.5000 0.5000  8 I 3.42, 2 Bi 3.70

Output
Excess energy over the best structure of this formula in the dataset   0 meV per atom
Uncorrected formation energy   1.1 eV/f.u.
Total energy   -0.17178 hartree per atom

---

A plane-wave DFT calculation with PBE-GGA was carried out for crystalline VBiIN2 at its relaxed geometry.

Cell lengths 4.1324, 4.1324, 5.2885 Å; angles 90.00, 90.00, 90.00 degrees
With the nearest neighbours (Å) after each atom.
Atoms (fractional coordinates):
I 0.0000 0.0000 0.5000  2 V 2.64, 4 Bi 2.92
N 0.0000 0.5000 0.0000  2 V 2.07
N 0.5000 0.0000 0.0000  2 V 2.07
V 0.0000 0.0000 0.0000  4 N 2.07
Bi 0.5000 0.5000 0.5000  4 I 2.92

Output
Excess energy over the best structure of this formula in the dataset   0 meV per atom
Uncorrected formation energy   4.6 eV/f.u.
Total energy   -0.19576 hartree per atom

---

A plane-wave DFT calculation with PBE-GGA was carried out for crystalline VBiI2N at its relaxed geometry.

Cell lengths 6.3293, 6.3293, 4.1882 Å; angles 90.00, 90.00, 90.00 degrees
With the nearest neighbours (Å) after each atom.
Atoms (fractional coordinates):
Bi 0.0000 0.0000 0.0000  2 N 2.09
V 0.5000 0.5000 0.5000  8 I 3.79, 2 V 4.19
I 0.5000 0.0000 0.0000  2 Bi 3.16
I 0.0000 0.5000 0.0000  2 Bi 3.16
N 0.0000 0.0000 0.5000  2 Bi 2.09

Output
Excess energy over the best structure of this formula in the dataset   1168 meV per atom
Uncorrected formation energy   6.9 eV/f.u.
Total energy   -0.12884 hartree per atom

---

A plane-wave DFT calculation with PBE-GGA was carried out for crystalline VBiIN2 at its relaxed geometry.

Cell lengths 4.3228, 4.3228, 6.7748 Å; angles 90.00, 90.00, 90.00 degrees
With the nearest neighbours (Å) after each atom.
Atoms (fractional coordinates):
N 0.5000 0.0000 0.0000  2 Bi 2.16
N 0.0000 0.5000 0.0000  2 Bi 2.16
I 0.0000 0.0000 0.5000  4 V 3.06, 2 Bi 3.39
Bi 0.0000 0.0000 0.0000  4 N 2.16
V 0.5000 0.5000 0.5000  4 I 3.06

Output
Excess energy over the best structure of this formula in the dataset   1063 meV per atom
Uncorrected formation energy   9.9 eV/f.u.
Total energy   -0.15668 hartree per atom

---

A plane-wave DFT calculation with PBE-GGA was carried out for crystalline BiWIN2 at its relaxed geometry.

Cell lengths 4.1609, 4.1609, 5.5729 Å; angles 90.00, 90.00, 90.00 degrees
With the nearest neighbours (Å) after each atom.
Atoms (fractional coordinates):
W 0.0000 0.0000 0.0000  4 N 2.08
I 0.0000 0.0000 0.5000  2 W 2.79, 4 Bi 2.94
N 0.5000 0.0000 0.0000  2 W 2.08
N 0.0000 0.5000 0.0000  2 W 2.08
Bi 0.5000 0.5000 0.5000  4 I 2.94

Output
Excess energy over the best structure of this formula in the dataset   0 meV per atom
Uncorrected formation energy   4.7 eV/f.u.
Total energy   -0.22264 hartree per atom

---

A plane-wave DFT calculation with PBE-GGA was carried out for crystalline BiWIN2 at its relaxed geometry.

Cell lengths 4.3406, 4.3406, 7.0006 Å; angles 90.00, 90.00, 90.00 degrees
With the nearest neighbours (Å) after each atom.
Atoms (fractional coordinates):
I 0.0000 0.0000 0.5000  4 W 3.07
N 0.0000 0.5000 0.0000  2 Bi 2.17
N 0.5000 0.0000 0.0000  2 Bi 2.17
W 0.5000 0.5000 0.5000  4 I 3.07
Bi 0.0000 0.0000 0.0000  4 N 2.17

Output
Excess energy over the best structure of this formula in the dataset   1459 meV per atom
Uncorrected formation energy   12.0 eV/f.u.
Total energy   -0.16901 hartree per atom

---

A plane-wave DFT calculation with PBE-GGA was carried out for crystalline YBiI2N at its relaxed geometry.

Cell lengths 6.2480, 6.2480, 4.0838 Å; angles 90.00, 90.00, 90.00 degrees
With the nearest neighbours (Å) after each atom.
Atoms (fractional coordinates):
I 0.0000 0.5000 0.0000  2 Y 3.12
I 0.5000 0.0000 0.0000  2 Y 3.12
Y 0.0000 0.0000 0.0000  2 N 2.04
Bi 0.5000 0.5000 0.5000  8 I 3.73, 2 Bi 4.08
N 0.0000 0.0000 0.5000  2 Y 2.04

Output
Excess energy over the best structure of this formula in the dataset   0 meV per atom
Uncorrected formation energy   -0.1 eV/f.u.
Total energy   -0.16093 hartree per atom